Here is crystalline Nd2PuThSe4 at its relaxed geometry from Alexandria. Energies are from PBE.

It has space group P2/m (No. 10), with a = 7.289 Å, b = 4.184 Å, c = 7.289 Å, α = 90.00°, β = 109.24° and γ = 90.00°. The distinct sites, in fractional coordinates, are Nd at (0.000, 0.000, 0.000), Nd at (0.000, 0.500, 0.500), Pu at (0.500, 0.000, 0.500), Th at (0.500, 0.500, 0.000), Se at (0.253, 0.000, 0.748) and Se at (0.256, 0.500, 0.255).

The value obtained for the uncorrected formation energy is -1.6904 eV/atom. Its total magnetization is 5.79 μB/cell. For the density of states at the Fermi level, the calculation gives 10.98 states/eV/cell. For the electronic total energy, the calculation gives -7.344 eV per atom.